GGA-PBE La2Ni5C3, optimized geometry; symmetry = No. 127; M_tot = 0.0000 μB/atom; calculated total energy = -6.839 eV/atom
1.0
8.3346 0.0000 0.0000
0.0000 8.3346 0.0000
0.0000 0.0000 4.0296
C La Ni
6 4 10
direct
0.0000 0.0000 0.5000
0.4422 0.0578 0.5000
0.9422 0.4422 0.5000
0.5000 0.5000 0.5000
0.0578 0.5578 0.5000
0.5578 0.9422 0.5000
0.6611 0.1611 0.0000
0.1611 0.3389 0.0000
0.8389 0.6611 0.0000
0.3389 0.8389 0.0000
0.0000 0.0000 0.0000
0.5000 0.5000 0.0000
0.2128 0.0752 0.5000
0.9248 0.2128 0.5000
0.4248 0.2872 0.5000
0.7128 0.4248 0.5000
0.2872 0.5752 0.5000
0.5752 0.7128 0.5000
0.0752 0.7872 0.5000
0.7872 0.9248 0.5000



GGA-PBE LaNpW2C3, optimized geometry; symmetry = No. 8; M_tot = 0.4831 μB/atom; calculated total energy = -10.280 eV/atom
1.0
6.1373 -1.6626 0.0000
6.1373 1.6626 0.0000
-2.4550 0.0000 5.2768
C La Np W
3 1 1 2
direct
0.7437 0.7437 0.2623
0.2467 0.2467 0.7352
0.0038 0.0038 0.9847
0.4001 0.4001 0.2044
0.6098 0.6098 0.8172
0.1562 0.1562 0.3226
0.8398 0.8398 0.6737



GGA-PBE La2Os3C5, optimized geometry; symmetry = No. 5; M_tot = 0.0004 μB/atom; calculated total energy = -8.698 eV/atom
1.0
5.1783 -1.9667 0.0000
5.1783 1.9667 0.0000
-4.3261 0.0000 6.7785
C La Os
5 2 3
direct
0.6153 0.3179 0.0658
0.2895 0.9908 0.3214
0.6500 0.3500 0.5000
0.0092 0.7105 0.6786
0.6821 0.3847 0.9342
0.9888 0.6883 0.2270
0.3117 0.0112 0.7730
0.1492 0.8508 0.0000
0.7895 0.4900 0.4207
0.5100 0.2105 0.5793